(1)
DFT (GGA-PBE) results for PmTe2P after structural relaxation.

a b c (Å): 3.956 3.956 9.606
angles (deg): 78.12 78.12 60.00
Fractional coordinates of all 4 atoms:
P (0.500, 0.500, 0.500)
Te (0.110, 0.110, 0.670)
Te (0.890, 0.890, 0.330)
Pm (0.000, 0.000, 0.000)

Output
**SG**: R-3m (166)
**Formation energy from raw total energies**: 22 meV per atom
**DOS at the Fermi energy**: 1.86 states/eV per cell



(2)
DFT (GGA-PBE) results for Cs6Hg2Cl after structural relaxation.

a b c (Å): 10.376 9.002 15.838
angles (deg): 55.82 90.00 90.00
Fractional coordinates of all 18 atoms:
Cs (0.034, 0.120, 0.746)
Cs (0.308, 0.405, 0.440)
Cs (0.333, 0.759, 0.063)
Cs (0.833, 0.241, 0.437)
Cs (0.808, 0.595, 0.060)
Cs (0.534, 0.880, 0.754)
Cs (0.966, 0.880, 0.254)
Cs (0.692, 0.595, 0.560)
Cs (0.667, 0.241, 0.937)
Cs (0.167, 0.759, 0.563)
Cs (0.192, 0.405, 0.940)
Cs (0.466, 0.120, 0.246)
Hg (0.617, 0.693, 0.256)
Hg (0.117, 0.307, 0.244)
Hg (0.883, 0.693, 0.756)
Hg (0.383, 0.307, 0.744)
Cl (0.500, 0.500, 0.000)
Cl (0.000, 0.500, 0.500)

Output
**SG**: P2_1/c (14)
**Formation energy from raw total energies**: -517 meV per atom
**DOS at the Fermi energy**: 13.52 states/eV per cell



(3)
DFT (GGA-PBE) results for YV2Fe10 after structural relaxation.

a b c (Å): 6.424 6.424 6.424
angles (deg): 137.26 98.09 97.18
Fractional coordinates of all 13 atoms:
Y (0.000, 0.000, 0.000)
V (0.359, 0.359, 0.000)
V (0.641, 0.641, 0.000)
Fe (0.774, 0.500, 0.274)
Fe (0.226, 0.500, 0.726)
Fe (0.772, 0.272, 0.500)
Fe (0.228, 0.728, 0.500)
Fe (0.000, 0.500, 0.000)
Fe (0.000, 0.000, 0.500)
Fe (0.500, 0.000, 0.000)
Fe (0.500, 0.500, 0.500)
Fe (0.359, 0.000, 0.359)
Fe (0.641, 0.000, 0.641)

Output
**Formation energy**: -0.07 eV/atom
**SG**: Immm (71)
**DOS at the Fermi energy**: 11.34 states/eV per cell



(4)
DFT (GGA-PBE) results for La2Pr2DyY2 after structural relaxation.

a b c (Å): 5.195 6.353 8.149
angles (deg): 97.57 90.00 114.13
Fractional coordinates of all 7 atoms:
La (0.143, 0.286, 0.426)
La (0.857, 0.714, 0.574)
Pr (0.571, 0.142, 0.719)
Pr (0.429, 0.858, 0.281)
Dy (0.000, 0.000, 0.000)
Y (0.715, 0.430, 0.138)
Y (0.285, 0.570, 0.862)

Output
**Formation energy**: 0.02 eV/atom
**SG**: C2/m (12)
**DOS at the Fermi energy**: 11.71 states/eV per cell



(5)
DFT (GGA-PBE) results for NpAgIrRh after structural relaxation.

a b c (Å): 4.649 4.649 4.649
angles (deg): 60.00 60.00 60.00
Fractional coordinates of all 4 atoms:
Np (0.500, 0.500, 0.500)
Ir (0.250, 0.250, 0.250)
Rh (0.750, 0.750, 0.750)
Ag (0.000, 0.000, 0.000)

Output
**Formation energy**: -0.10 eV/atom
**SG**: F-43m (216)
**DOS at the Fermi energy**: 5.76 states/eV per cell



(6)
DFT (GGA-PBE) results for PuTlVCl6 after structural relaxation.

a b c (Å): 6.783 6.783 14.215
angles (deg): 90.00 90.00 120.00
Fractional coordinates of all 18 atoms:
Pu (0.333, 0.667, 0.250)
Pu (0.667, 0.333, 0.750)
Tl (0.000, 0.000, 0.000)
Tl (0.000, 0.000, 0.500)
V (0.667, 0.333, 0.250)
V (0.333, 0.667, 0.750)
Cl (0.651, 0.620, 0.147)
Cl (0.968, 0.349, 0.147)
Cl (0.349, 0.968, 0.647)
Cl (0.032, 0.651, 0.853)
Cl (0.380, 0.349, 0.353)
Cl (0.968, 0.620, 0.353)
Cl (0.620, 0.968, 0.853)
Cl (0.651, 0.032, 0.353)
Cl (0.032, 0.380, 0.647)
Cl (0.380, 0.032, 0.147)
Cl (0.620, 0.651, 0.647)
Cl (0.349, 0.380, 0.853)

Output
**SG**: P-31c (163)
**Formation energy from raw total energies**: -1476 meV per atom
**DOS at the Fermi energy**: 26.84 states/eV per cell



What did the second record say?
DFT (GGA-PBE) results for Cs6Hg2Cl after structural relaxation.

a b c (Å): 10.376 9.002 15.838
angles (deg): 55.82 90.00 90.00
Fractional coordinates of all 18 atoms:
Cs (0.034, 0.120, 0.746)
Cs (0.308, 0.405, 0.440)
Cs (0.333, 0.759, 0.063)
Cs (0.833, 0.241, 0.437)
Cs (0.808, 0.595, 0.060)
Cs (0.534, 0.880, 0.754)
Cs (0.966, 0.880, 0.254)
Cs (0.692, 0.595, 0.560)
Cs (0.667, 0.241, 0.937)
Cs (0.167, 0.759, 0.563)
Cs (0.192, 0.405, 0.940)
Cs (0.466, 0.120, 0.246)
Hg (0.617, 0.693, 0.256)
Hg (0.117, 0.307, 0.244)
Hg (0.883, 0.693, 0.756)
Hg (0.383, 0.307, 0.744)
Cl (0.500, 0.500, 0.000)
Cl (0.000, 0.500, 0.500)

Output
**SG**: P2_1/c (14)
**Formation energy from raw total energies**: -517 meV per atom
**DOS at the Fermi energy**: 13.52 states/eV per cell



Q: Look up the DOS at the Fermi energy of the first one.
A: 1.86 states/eV per cell



Q: What is the formula in the fifth record?
A: NpAgIrRh